A relaxed structure of CsCa2SmI8, computed with PBE.

Cell: 7.3846 7.7680 9.9674 Å, 89.93 89.90 89.19°
Atoms (fractional coordinates):
Cs: 0.0000 0.0000 0.0000
Ca: 0.5000 0.5002 0.2485
Ca: 0.5000 0.4998 0.7515
Sm: 0.0000 0.0000 0.5000
I: 0.2552 0.3320 0.5002
I: 0.2546 0.8337 0.7089
I: 0.2556 0.8349 0.2908
I: 0.2671 0.3925 0.0004
I: 0.7329 0.6075 0.9996
I: 0.7444 0.1651 0.7092
I: 0.7454 0.1663 0.2911
I: 0.7448 0.6680 0.4998

Values from the calculation:
As for the crystal system: triclinic.



A relaxed structure of Cs2CaSnI6, computed with PBE.

Cell: 8.8660 8.8660 8.8660 Å, 60.00 60.00 60.00°
Atoms (fractional coordinates):
Cs: 0.2500 0.2500 0.2500
Cs: 0.7500 0.7500 0.7500
Ca: 0.0000 0.0000 0.0000
Sn: 0.5000 0.5000 0.5000
I: 0.2484 0.2484 0.7516
I: 0.2484 0.7516 0.2484
I: 0.2484 0.7516 0.7516
I: 0.7516 0.2484 0.2484
I: 0.7516 0.2484 0.7516
I: 0.7516 0.7516 0.2484

Values from the calculation:
As for the crystal system: cubic.



A relaxed structure of CsCa2SnI8, computed with PBE.

Cell: 7.1016 7.7214 10.3549 Å, 89.97 89.95 89.07°
Atoms (fractional coordinates):
Cs: 0.0000 0.0000 0.0000
Ca: 0.5000 0.5001 0.2728
Ca: 0.5000 0.4999 0.7272
Sn: 0.0000 0.0000 0.5000
I: 0.2484 0.3490 0.5002
I: 0.2545 0.4587 0.0001
I: 0.2628 0.8420 0.7122
I: 0.2635 0.8426 0.2876
I: 0.7365 0.1574 0.7124
I: 0.7372 0.1580 0.2878
I: 0.7455 0.5413 0.9999
I: 0.7516 0.6510 0.4998

Values from the calculation:
As for the crystal system: triclinic.



A relaxed structure of Cs3Ca2SnI9, computed with PBE.

Cell: 8.8412 8.8412 10.8298 Å, 90.00 90.00 120.00°
Atoms (fractional coordinates):
Cs: 0.0000 0.0000 0.0000
Cs: 0.3333 0.6667 0.6650
Cs: 0.6667 0.3333 0.3350
Ca: 0.3333 0.6667 0.1632
Ca: 0.6667 0.3333 0.8368
Sn: 0.0000 0.0000 0.5000
I: 0.0000 0.5000 0.0000
I: 0.1680 0.3361 0.3320
I: 0.1680 0.8320 0.3320
I: 0.3361 0.1680 0.6680
I: 0.5000 0.0000 0.0000
I: 0.5000 0.5000 0.0000
I: 0.6639 0.8320 0.3320
I: 0.8320 0.1680 0.6680
I: 0.8320 0.6639 0.6680

Values from the calculation:
As for the crystal system: trigonal.



A relaxed structure of Cs3CaSn2I9, computed with PBE.

Cell: 8.8725 8.8725 10.8606 Å, 90.00 90.00 120.00°
Atoms (fractional coordinates):
Cs: 0.0000 0.0000 0.0000
Cs: 0.3333 0.6667 0.6635
Cs: 0.6667 0.3333 0.3365
Ca: 0.0000 0.0000 0.5000
Sn: 0.3333 0.6667 0.1660
Sn: 0.6667 0.3333 0.8340
I: 0.0000 0.5000 0.0000
I: 0.1658 0.3316 0.3350
I: 0.1658 0.8342 0.3350
I: 0.3316 0.1658 0.6650
I: 0.5000 0.0000 0.0000
I: 0.5000 0.5000 0.0000
I: 0.6684 0.8342 0.3350
I: 0.8342 0.1658 0.6650
I: 0.8342 0.6684 0.6650

Values from the calculation:
As for the crystal system: trigonal.



A relaxed structure of Cs2CaTbI6, computed with PBE.

Cell: 8.7315 12.3498 8.7243 Å, 90.00 90.00 90.00°
Atoms (fractional coordinates):
Cs: 0.2500 0.9995 0.2490
Cs: 0.2500 0.5005 0.2490
Cs: 0.7500 0.0005 0.7510
Cs: 0.7500 0.4995 0.7510
Ca: 0.2500 0.2500 0.7500
Ca: 0.7500 0.7500 0.2500
Tb: 0.2500 0.7500 0.7499
Tb: 0.7500 0.2500 0.2501
I: 0.0018 0.7500 0.5017
I: 0.0017 0.7500 0.9981
I: 0.2500 0.5018 0.7504
I: 0.2500 0.9982 0.7504
I: 0.4982 0.7500 0.5017
I: 0.4983 0.7500 0.9981
I: 0.5017 0.2500 0.0019
I: 0.5018 0.2500 0.4983
I: 0.7500 0.0018 0.2496
I: 0.7500 0.4982 0.2496
I: 0.9983 0.2500 0.0019
I: 0.9982 0.2500 0.4983

Values from the calculation:
As for the crystal system: orthorhombic.



A relaxed structure of CsCa2TbI8, computed with PBE.

Cell: 7.3458 7.7255 9.9671 Å, 89.94 89.90 89.04°
Atoms (fractional coordinates):
Cs: 0.0000 0.0000 0.0000
Ca: 0.4999 0.5001 0.2494
Ca: 0.5001 0.4999 0.7506
Tb: 0.0000 0.0000 0.5000
I: 0.2505 0.8341 0.7065
I: 0.2515 0.8352 0.2932
I: 0.2535 0.3284 0.5002
I: 0.2671 0.3928 0.0004
I: 0.7329 0.6072 0.9996
I: 0.7465 0.6716 0.4998
I: 0.7485 0.1648 0.7068
I: 0.7495 0.1659 0.2935

Values from the calculation:
As for the crystal system: triclinic.



A relaxed structure of CsCaTbI6, computed with PBE.

Cell: 8.0425 8.0425 17.2431 Å, 90.00 90.00 120.00°
Atoms (fractional coordinates):
Cs: 0.0000 0.0000 0.0000
Cs: 0.0000 0.0000 0.5000
Ca: 0.3333 0.6667 0.2500
Ca: 0.6667 0.3333 0.7500
Tb: 0.3333 0.6667 0.7500
Tb: 0.6667 0.3333 0.2500
I: 0.0086 0.3781 0.6457
I: 0.0086 0.6305 0.8543
I: 0.3695 0.3781 0.8543
I: 0.3695 0.9914 0.6457
I: 0.3781 0.0086 0.1457
I: 0.3781 0.3695 0.3543
I: 0.6219 0.6305 0.6457
I: 0.6219 0.9914 0.8543
I: 0.6305 0.0086 0.3543
I: 0.6305 0.6219 0.1457
I: 0.9914 0.3695 0.1457
I: 0.9914 0.6219 0.3543

Values from the calculation:
As for the crystal system: trigonal.



A relaxed structure of Cs2CaTcI6, computed with PBE.

Cell: 8.3436 8.3436 8.3436 Å, 60.00 60.00 60.00°
Atoms (fractional coordinates):
Cs: 0.2500 0.2500 0.2500
Cs: 0.7500 0.7500 0.7500
Ca: 0.0000 0.0000 0.0000
Tc: 0.5000 0.5000 0.5000
I: 0.2641 0.2641 0.7359
I: 0.2641 0.7359 0.2641
I: 0.2641 0.7359 0.7359
I: 0.7359 0.2641 0.2641
I: 0.7359 0.2641 0.7359
I: 0.7359 0.7359 0.2641

Values from the calculation:
As for the crystal system: cubic.



A relaxed structure of CsCaTeI2, computed with PBE.

Cell: 6.7228 6.7228 6.2310 Å, 90.00 90.00 90.00°
Atoms (fractional coordinates):
Cs: 0.0000 0.0000 0.0000
Ca: 0.5000 0.5000 0.5000
Te: 0.0000 0.0000 0.5000
I: 0.0000 0.5000 0.0000
I: 0.5000 0.0000 0.0000

Values from the calculation:
The energy above the most stable polymorph in this dataset is 977 meV/atom. As for the crystal system: tetragonal.



A relaxed structure of CsCaTeI, computed with PBE.

Cell: 9.3391 9.3391 9.3391 Å, 29.63 29.63 29.63°
Atoms (fractional coordinates):
Cs: 0.0000 0.0000 0.0000
Ca: 0.1834 0.1834 0.1834
Te: 0.5714 0.5714 0.5714
I: 0.7742 0.7742 0.7742

Values from the calculation:
As for the crystal system: trigonal.



A relaxed structure of Cs2CaTeI6, computed with PBE.

Cell: 9.3831 9.3831 9.3831 Å, 125.19 125.19 81.23°
Atoms (fractional coordinates):
Cs: 0.2500 0.7500 0.5000
Cs: 0.7500 0.2500 0.5000
Ca: 0.0000 0.0000 0.0000
Te: 0.5000 0.5000 0.0000
I: 0.2132 0.2132 0.0000
I: 0.2586 0.2586 0.5172
I: 0.2586 0.7414 0.0000
I: 0.7414 0.2586 0.0000
I: 0.7414 0.7414 0.4828
I: 0.7868 0.7868 0.0000

Values from the calculation:
As for the crystal system: tetragonal.



Ordered formation energy without anion corrections results: -1.464; -1.247; -1.089; -1.361; -1.143; -1.405; -1.458; -1.524; -0.934; -0.218; -1.465; -1.041; unit eV/atom.
Ordered size of the total moment results: 0.000; 0.000; 0.001; 0.000; 0.000; 0.838; 0.000; 0.000; 1.000; 0.000; 0.000; 0.000; unit μB per formula unit.